DFT (GGA-PBE) results for a geometry-optimized K3NpO2F5 structure.

Unit cell a=9.269 b=9.269 c=11.280 alpha=114.26 beta=114.26 gamma=90.00
Last column: magnetic moment on the atom in μB.
Sites, in units of the cell vectors:
K (0.324, 0.848, 0.226)  0.00
K (0.628, 0.074, 0.726)  0.00
K (0.098, 0.653, 0.726)  0.00
K (0.903, 0.378, 0.226)  0.00
K (0.926, 0.902, 0.274)  0.00
K (0.622, 0.676, 0.774)  0.00
K (0.152, 0.097, 0.774)  0.00
K (0.347, 0.372, 0.274)  0.00
K (0.500, 0.500, 0.000)  0.00
K (0.750, 0.250, 0.500)  0.00
K (0.000, 0.000, 0.000)  0.00
K (0.250, 0.750, 0.500)  0.00
Np (0.979, 0.479, 0.958)  1.11
Np (0.729, 0.729, 0.458)  1.11
Np (0.271, 0.271, 0.542)  1.11
Np (0.521, 0.021, 0.042)  1.11
O (0.769, 0.535, 0.457)  -0.04
O (0.171, 0.519, 0.957)  -0.04
O (0.785, 0.437, 0.957)  -0.04
O (0.687, 0.921, 0.457)  -0.04
O (0.481, 0.215, 0.043)  -0.04
O (0.079, 0.231, 0.543)  -0.04
O (0.465, 0.313, 0.543)  -0.04
O (0.563, 0.829, 0.043)  -0.04
F (0.251, 0.933, 0.960)  0.00
F (0.277, 0.001, 0.460)  0.00
F (0.183, 0.458, 0.460)  0.00
F (0.708, 0.027, 0.960)  0.00
F (0.999, 0.817, 0.540)  0.00
F (0.973, 0.749, 0.040)  0.00
F (0.067, 0.292, 0.040)  0.00
F (0.542, 0.723, 0.540)  0.00
F (0.395, 0.895, 0.791)  0.00
F (0.145, 0.145, 0.291)  0.00
F (0.855, 0.855, 0.709)  0.00
F (0.105, 0.605, 0.209)  0.00
F (0.487, 0.611, 0.261)  -0.01
F (0.900, 0.237, 0.761)  -0.01
F (0.861, 0.524, 0.761)  -0.01
F (0.774, 0.650, 0.261)  -0.01
F (0.763, 0.139, 0.239)  -0.01
F (0.350, 0.513, 0.739)  -0.01
F (0.389, 0.226, 0.739)  -0.01
F (0.476, 0.100, 0.239)  -0.01

Properties
- Energy relative to the elements, uncorrected: -2.9535 eV per atom
- Energy: -6.181 eV/atom

DFT (GGA-PBE) results for a geometry-optimized Be2CuPb structure.

Unit cell a=3.055 b=3.055 c=6.506 alpha=90.00 beta=90.00 gamma=89.91
Sites, in units of the cell vectors:
Pb (0.500, 0.500, 0.767)
Be (0.000, 0.000, 0.079)
Be (0.500, 0.500, 0.244)
Cu (0.000, 0.000, 0.411)

Properties
- Energy relative to the elements: 0.4650 eV per atom
- Energy: -3.349 eV/atom

DFT (GGA-PBE) results for a geometry-optimized Tb12Ho6Al structure.

Unit cell a=8.422 b=8.422 c=8.422 alpha=88.75 beta=88.75 gamma=88.75
Sites, in units of the cell vectors:
Tb (0.783, 0.538, 0.435)
Tb (0.435, 0.783, 0.538)
Tb (0.538, 0.435, 0.783)
Tb (0.217, 0.462, 0.565)
Tb (0.565, 0.217, 0.462)
Tb (0.462, 0.565, 0.217)
Tb (0.015, 0.179, 0.361)
Tb (0.821, 0.639, 0.985)
Tb (0.639, 0.985, 0.821)
Tb (0.985, 0.821, 0.639)
Tb (0.179, 0.361, 0.015)
Tb (0.361, 0.015, 0.179)
Ho (0.743, 0.903, 0.287)
Ho (0.713, 0.257, 0.097)
Ho (0.097, 0.713, 0.257)
Ho (0.257, 0.097, 0.713)
Ho (0.287, 0.743, 0.903)
Ho (0.903, 0.287, 0.743)
Al (0.000, 0.000, 0.000)

Properties
- Energy relative to the elements: 0.0897 eV per atom
- Energy: -4.477 eV/atom

DFT (GGA-PBE) results for a geometry-optimized MgMnHg2 structure.

Unit cell a=5.854 b=5.854 c=5.854 alpha=146.95 beta=132.19 gamma=59.36
Last column: magnetic moment on the atom in μB.
Sites, in units of the cell vectors:
Hg (0.016, 0.016, 0.000)  -0.01
Hg (0.753, 0.253, 0.500)  -0.04
Mg (0.488, 0.488, 0.000)  -0.02
Mn (0.244, 0.744, 0.500)  3.77

Properties
- Energy relative to the elements: 0.1303 eV per atom
- Energy: -2.712 eV/atom

DFT (GGA-PBE) results for a geometry-optimized YErCd17 structure.

Unit cell a=7.660 b=7.660 c=7.660 alpha=81.86 beta=81.86 gamma=81.86
Sites, in units of the cell vectors:
Y (0.671, 0.671, 0.671)
Er (0.321, 0.321, 0.321)
Cd (0.305, 0.002, 0.692)
Cd (0.692, 0.305, 0.002)
Cd (0.002, 0.692, 0.305)
Cd (0.305, 0.692, 0.002)
Cd (0.002, 0.305, 0.692)
Cd (0.692, 0.002, 0.305)
Cd (0.341, 0.883, 0.341)
Cd (0.341, 0.341, 0.883)
Cd (0.883, 0.341, 0.341)
Cd (0.616, 0.226, 0.616)
Cd (0.616, 0.616, 0.226)
Cd (0.226, 0.616, 0.616)
Cd (0.974, 0.529, 0.974)
Cd (0.974, 0.974, 0.529)
Cd (0.529, 0.974, 0.974)
Cd (0.909, 0.909, 0.909)
Cd (0.101, 0.101, 0.101)

Properties
- Energy relative to the elements: -0.0981 eV per atom
- Energy: -1.497 eV/atom

DFT (GGA-PBE) results for a geometry-optimized Pu2CdPt3 structure.

Unit cell a=4.110 b=5.627 c=6.898 alpha=114.07 beta=107.33 gamma=90.00
Last column: magnetic moment on the atom in μB.
Sites, in units of the cell vectors:
Pu (0.666, 0.166, 0.332)  5.00
Pu (0.334, 0.834, 0.668)  5.00
Cd (0.000, 0.500, 0.000)  -0.01
Pt (0.333, 0.333, 0.665)  -0.12
Pt (0.000, 0.000, 0.000)  -0.09
Pt (0.667, 0.667, 0.335)  -0.12

Properties
- Energy relative to the elements: -0.5054 eV per atom
- Energy: -8.456 eV/atom

DFT (GGA-PBE) results for a geometry-optimized Sm2EuSn structure.

Unit cell a=4.209 b=4.209 c=7.073 alpha=90.00 beta=90.00 gamma=90.00
Last column: magnetic moment on the atom in μB.
Sites, in units of the cell vectors:
Eu (0.500, 0.500, 0.500)  -6.90
Sn (0.500, 0.500, 0.000)  0.03
Sm (0.000, 0.000, 0.780)  -0.07
Sm (0.000, 0.000, 0.220)  -0.07

Properties
- Energy relative to the elements: -0.3024 eV per atom
- Energy: -6.231 eV/atom
- Relative energy among the computed polymorphs: 101 meV/atom

DFT (GGA-PBE) results for a geometry-optimized HfHg structure.

Unit cell a=6.329 b=6.329 c=6.329 alpha=90.00 beta=90.00 gamma=90.00
Sites, in units of the cell vectors:
Hf (0.250, 0.250, 0.250)
Hf (0.250, 0.750, 0.750)
Hf (0.750, 0.250, 0.750)
Hf (0.750, 0.750, 0.250)
Hg (0.000, 0.000, 0.000)
Hg (0.000, 0.500, 0.500)
Hg (0.500, 0.000, 0.500)
Hg (0.500, 0.500, 0.000)

Properties
- Energy relative to the elements: 1.1467 eV per atom
- Energy: -3.981 eV/atom

Q: Which of these has the lowest energy?
A: Pu2CdPt3

Please write out number 7 again, unchanged.
DFT (GGA-PBE) results for a geometry-optimized Sm2EuSn structure.

Unit cell a=4.209 b=4.209 c=7.073 alpha=90.00 beta=90.00 gamma=90.00
Last column: magnetic moment on the atom in μB.
Sites, in units of the cell vectors:
Eu (0.500, 0.500, 0.500)  -6.90
Sn (0.500, 0.500, 0.000)  0.03
Sm (0.000, 0.000, 0.780)  -0.07
Sm (0.000, 0.000, 0.220)  -0.07

Properties
- Energy relative to the elements: -0.3024 eV per atom
- Energy: -6.231 eV/atom
- Relative energy among the computed polymorphs: 101 meV/atom

Q: Number 8 is which compound?
A: HfHg

Q: Among the records above, which one has the lowest energy?
A: Pu2CdPt3